Version w
Computed, not measured: a relaxed La5Cd4 crystal at the PBE level of DFT.

Results
total magnetic moment: 0.000 μB/cell

Cell and atoms, written as POSCAR:
```
La5Cd4
1.0
1.603 -5.709 4.999
-5.773 3.359 -3.943
3.252 -3.423 -6.153
Cd La
4 5
Cartesian
-0.880 -0.023 -3.523 Cd
1.694 -3.186 -0.403 Cd
-1.642 -0.042 -6.574 Cd
3.161 -5.946 -0.751 Cd
0.000 0.000 0.000 La
-3.349 0.378 -1.003 La
-1.685 -2.750 -1.399 La
0.767 -3.023 -3.698 La
-0.822 -2.728 2.060 La
```

=====

Version x
Computed, not measured: a relaxed La5Cd4 crystal at the PBE level of DFT.

Results
total magnetic moment: 0.007 μB/cell

Cell and atoms, written as POSCAR:
```
La5Cd4
1.0
9.777 0.000 0.000
4.889 8.467 0.000
0.000 0.000 6.914
Cd La
8 10
Cartesian
3.580 0.000 1.728 Cd
7.987 3.100 1.728 Cd
0.000 0.000 3.457 Cd
6.197 0.000 5.185 Cd
1.790 3.100 5.185 Cd
6.679 5.367 5.185 Cd
0.000 0.000 0.000 Cd
3.099 5.367 1.728 Cd
9.777 5.645 3.457 La
1.453 2.516 1.728 La
4.889 2.822 3.457 La
6.341 5.951 1.728 La
9.777 5.645 0.000 La
6.872 0.000 1.728 La
4.889 2.822 0.000 La
2.905 0.000 5.185 La
3.436 5.951 5.185 La
8.324 2.516 5.185 La
```

=====

Ranking the structures above by energy, version x is first and the second is 4.5 kJ/mol of atoms behind.